{"formula": "TcAgAs", "functional": "GGA-PBE", "state": "relaxed", "lattice_angstrom": [[-1.577, 1.577, 5.092], [1.577, -1.577, 5.092], [1.577, 1.577, -5.092]], "species": ["Tc", "Ag", "As"], "frac_coords": [[0.000, 0.000, 0.000], [0.305, 0.305, 0.000], [0.613, 0.613, 0.000]], "polymorph_energy_mev_per_atom": 196, "formation_enthalpy_0k_ev_per_atom": 0.219}



{"formula": "Tc2AgAs", "functional": "GGA-PBE", "state": "relaxed", "lattice_angstrom": [[4.478, -1.475, 0.000], [4.478, 1.475, 0.000], [-0.557, 0.000, 4.907]], "species": ["Tc", "Tc", "Ag", "As"], "frac_coords": [[0.000, 0.000, 0.000], [0.738, 0.738, 0.191], [0.253, 0.253, 0.705], [0.481, 0.481, 0.407]], "formation_enthalpy_0k_ev_per_atom": 0.359}



{"formula": "TcAgAs2", "functional": "GGA-PBE", "state": "relaxed", "lattice_angstrom": [[3.057, 0.000, 0.000], [0.000, 3.026, 0.000], [-0.015, 0.000, 7.878]], "species": ["Tc", "Ag", "As", "As"], "frac_coords": [[0.000, 0.000, 0.000], [0.500, 0.000, 0.500], [0.499, 0.500, 0.807], [0.501, 0.500, 0.193]], "polymorph_energy_mev_per_atom": 0, "formation_enthalpy_0k_ev_per_atom": -0.016}



{"formula": "Tc2AgAs", "functional": "GGA-PBE", "state": "relaxed", "lattice_angstrom": [[1.466, -2.372, 0.000], [1.466, 2.372, 0.000], [0.000, 0.000, 9.568]], "species": ["Tc", "Tc", "Ag", "As"], "frac_coords": [[0.000, 0.000, 0.000], [0.500, 0.500, 0.219], [0.000, 0.000, 0.481], [0.500, 0.500, 0.769]], "formation_enthalpy_0k_ev_per_atom": 0.358}



{"formula": "Tc2AgAs2", "functional": "GGA-PBE", "state": "relaxed", "lattice_angstrom": [[-1.997, 1.997, 5.507], [1.997, -1.997, 5.507], [1.997, 1.997, -5.507]], "species": ["Tc", "Tc", "Ag", "As", "As"], "frac_coords": [[0.114, 0.114, 0.000], [0.886, 0.886, 0.000], [0.500, 0.500, 0.000], [0.250, 0.750, 0.500], [0.750, 0.250, 0.500]], "polymorph_energy_mev_per_atom": 204, "formation_enthalpy_0k_ev_per_atom": 0.281}



{"formula": "TcAgAs2", "functional": "GGA-PBE", "state": "relaxed", "lattice_angstrom": [[-1.511, 1.871, 6.477], [1.511, -1.871, 6.477], [1.511, 1.871, -6.477]], "species": ["Tc", "Ag", "As", "As"], "frac_coords": [[0.000, 0.000, 0.000], [0.223, 0.723, 0.500], [0.565, 0.565, 0.000], [0.846, 0.346, 0.500]], "polymorph_energy_mev_per_atom": 87, "formation_enthalpy_0k_ev_per_atom": 0.071}